A relaxed DyMn2Se4 crystal, computed with GGA-PBE.

For the volume, the calculation gives 153.65 Å³/f.u. The calculation puts the electronic total energy at -0.22757 Ha/atom. The calculation puts the density of states at the Fermi level at 8.1 states/eV per cell. The formation energy without anion corrections comes out at -6.47 eV per formula unit.

The space group is Cmcm (No. 63) and the conventional cell measures 3.8582, 12.5668 and 12.6764 Å, with angles of 90.00, 90.00 and 90.00 degrees. The inequivalent atoms are Dy at (0.0000, 0.1151, 0.2500), Mn at (0.0000, 0.3681, 0.0671), Se at (0.0000, 0.0000, 0.0000), Se at (0.0000, 0.2762, 0.6131) and Se at (0.0000, 0.4484, 0.2500).